No. 1
Below is a relaxed structure of CePmPr6Er2, with properties calculated at the PBE-GGA level.

Calculated values
**DFT formation energy**: 0.2308 eV per atom
**Calculated volume**: 35.104 A^3/atom
**Space-group type**: C2/m, No. 12
**Raw total energy**: -46.2 eV/cell

Unit cell a=6.6753 b=6.6753 c=8.9544 alpha=100.34 beta=100.34 gamma=64.19
With the nearest neighbours (Å) after each atom.
Element x y z (fractional)
Ce  0.0000  0.0000  0.0000  6 Pr 3.45-3.74
Pm  0.5000  0.5000  0.5000  4 Pr 3.38, 2 Er 3.46
Pr  0.0972  0.5653  0.2012  2 Er 3.24-3.49, 1 Pr 3.32, 1 Pm 3.38, 1 Ce 3.45
Pr  0.1312  0.1312  0.4198  5 Pr 3.56-3.83, 1 Ce 3.74, 2 Pm 3.97
Pr  0.4347  0.9028  0.7988  2 Er 3.24-3.49, 1 Pr 3.32, 1 Pm 3.38, 1 Ce 3.45
Pr  0.5653  0.0972  0.2012  2 Er 3.24-3.49, 1 Pr 3.32, 1 Pm 3.38, 1 Ce 3.45
Pr  0.8688  0.8688  0.5802  5 Pr 3.56-3.83, 1 Ce 3.74, 2 Pm 3.97
Pr  0.9028  0.4347  0.7988  2 Er 3.24-3.49, 1 Pr 3.32, 1 Pm 3.38, 1 Ce 3.45
Er  0.4065  0.4065  0.8433  1 Er 3.14, 4 Pr 3.24-3.49, 1 Pm 3.46
Er  0.5935  0.5935  0.1567  1 Er 3.14, 4 Pr 3.24-3.49, 1 Pm 3.46

No. 2
Below is a relaxed structure of CePmErPu, with properties calculated at the PBE-GGA level.

Calculated values
**DFT formation energy**: 0.2105 eV per atom
**Calculated volume**: 30.460 A^3/atom
**Space-group type**: F-43m, No. 216
**Raw total energy**: -28.7 eV/cell

Unit cell a=5.5646 b=5.5646 c=5.5646 alpha=60.00 beta=60.00 gamma=60.00
With the nearest neighbours (Å) after each atom.
Element x y z (fractional)
Ce  0.0000  0.0000  0.0000  4 Pm 3.41, 4 Pu 3.41
Pm  0.2500  0.2500  0.2500  4 Ce 3.41, 4 Er 3.41
Er  0.5000  0.5000  0.5000  4 Pm 3.41, 4 Pu 3.41
Pu  0.7500  0.7500  0.7500  4 Ce 3.41, 4 Er 3.41

No. 3
Below is a relaxed structure of CePm2ErRh2, with properties calculated at the PBE-GGA level.

Calculated values
**DFT formation energy**: -0.5033 eV per atom
**Calculated volume**: 26.231 A^3/atom
**Space-group type**: Ibam, No. 72
**Raw total energy**: -75.4 eV/cell

Unit cell a=8.4128 b=8.4128 c=8.4128 alpha=132.62 beta=68.99 gamma=132.95
With the nearest neighbours (Å) after each atom.
Element x y z (fractional)
Ce  0.2500  0.2500  0.0000  4 Rh 2.77
Ce  0.7500  0.7500  0.0000  4 Rh 2.77
Pm  0.1914  0.2304  0.4218  1 Rh 2.76
Pm  0.3086  0.7304  0.0391  1 Rh 2.76
Pm  0.6914  0.2696  0.9609  1 Rh 2.76
Pm  0.8086  0.7696  0.5782  1 Rh 2.76
Er  0.2500  0.7500  0.5000  4 Rh 2.89
Er  0.7500  0.2500  0.5000  4 Rh 2.89
Rh  0.1100  0.7638  0.8738  1 Pm 2.76, 2 Ce 2.77, 2 Er 2.89
Rh  0.3900  0.2638  0.6537  1 Pm 2.76, 2 Ce 2.77, 2 Er 2.89
Rh  0.6100  0.7362  0.3463  1 Pm 2.76, 2 Ce 2.77, 2 Er 2.89
Rh  0.8900  0.2362  0.1262  1 Pm 2.76, 2 Ce 2.77, 2 Er 2.89

No. 4
Below is a relaxed structure of Ce3Pm2ErS6, with properties calculated at the PBE-GGA level.

Calculated values
**Calculated volume**: 22.695 A^3/atom
**Formation energy (no corrections)**: -2.0311 eV/atom
**Space-group type**: C2/m, No. 12
**Raw total energy**: -81.0 eV/cell

Unit cell a=6.9262 b=6.9262 c=6.9532 alpha=99.58 beta=99.58 gamma=120.02
With the nearest neighbours (Å) after each atom.
Element x y z (fractional)
Ce  0.0000  0.0000  0.0000  6 S 2.83-2.90
Ce  0.3301  0.6699  0.0000  6 S 2.83-2.88
Ce  0.6699  0.3301  0.0000  6 S 2.83-2.88
Pm  0.1664  0.8336  0.5000  6 S 2.83-2.84
Pm  0.8336  0.1664  0.5000  6 S 2.83-2.84
Er  0.5000  0.5000  0.5000  6 S 2.76-2.77
S  0.0945  0.4191  0.2568  1 Er 2.76, 2 Pm 2.83, 3 Ce 2.83-2.88
S  0.2579  0.2579  0.7467  1 Er 2.77, 2 Pm 2.84, 3 Ce 2.85-2.90
S  0.4191  0.0945  0.2568  1 Er 2.76, 2 Pm 2.83, 3 Ce 2.83-2.88
S  0.5809  0.9055  0.7432  1 Er 2.76, 2 Pm 2.83, 3 Ce 2.83-2.88
S  0.7421  0.7421  0.2533  1 Er 2.77, 2 Pm 2.84, 3 Ce 2.85-2.90
S  0.9055  0.5809  0.7432  1 Er 2.76, 2 Pm 2.83, 3 Ce 2.83-2.88

No. 5
Below is a relaxed structure of CePm4ErS8, with properties calculated at the PBE-GGA level.

Calculated values
**Calculated volume**: 28.378 A^3/atom
**Formation energy (no corrections)**: -1.9055 eV/atom
**Space-group type**: R3m, No. 160
**Raw total energy**: -89.2 eV/cell

Unit cell a=8.2250 b=8.2250 c=8.2250 alpha=60.43 beta=60.43 gamma=60.43
With the nearest neighbours (Å) after each atom.
Element x y z (fractional)
Ce  0.0000  0.0000  0.0000  4 S 2.71-2.74
Pm  0.1234  0.6234  0.6234  6 S 2.82-2.85
Pm  0.2467  0.2467  0.2467  4 S 2.67-2.71
Pm  0.6234  0.1234  0.6234  6 S 2.82-2.85
Pm  0.6234  0.6234  0.1234  6 S 2.82-2.85
Er  0.6238  0.6238  0.6238  6 S 2.73-2.75
S  0.3798  0.3798  0.3798  4 Pm 2.67-2.85
S  0.3881  0.3881  0.8466  3 Pm 2.71-2.85, 1 Er 2.75
S  0.3881  0.8466  0.3881  3 Pm 2.71-2.85, 1 Er 2.75
S  0.4050  0.8577  0.8577  1 Er 2.73, 1 Ce 2.74, 2 Pm 2.83
S  0.8466  0.3881  0.3881  3 Pm 2.71-2.85, 1 Er 2.75
S  0.8577  0.4050  0.8577  1 Er 2.73, 1 Ce 2.74, 2 Pm 2.83
S  0.8577  0.8577  0.4050  1 Er 2.73, 1 Ce 2.74, 2 Pm 2.83
S  0.8650  0.8650  0.8650  1 Ce 2.71, 3 Pm 2.82

No. 6
Below is a relaxed structure of Ce3Pm4ErS8, with properties calculated at the PBE-GGA level.

Calculated values
**Calculated volume**: 22.786 A^3/atom
**Formation energy (no corrections)**: -2.0315 eV/atom
**Space-group type**: R-3m, No. 166
**Raw total energy**: -106.9 eV/cell

Unit cell a=8.0128 b=8.0128 c=8.0128 alpha=60.10 beta=60.10 gamma=60.10
With the nearest neighbours (Å) after each atom.
Element x y z (fractional)
Ce  0.0000  0.5000  0.5000  6 S 2.83
Ce  0.5000  0.0000  0.5000  6 S 2.83
Ce  0.5000  0.5000  0.0000  6 S 2.83
Pm  0.0000  0.0000  0.5000  6 S 2.84
Pm  0.0000  0.5000  0.0000  6 S 2.84
Pm  0.5000  0.0000  0.0000  6 S 2.84
Pm  0.5000  0.5000  0.5000  6 S 2.90
Er  0.0000  0.0000  0.0000  6 S 2.77
S  0.2446  0.2446  0.7548  1 Er 2.77, 2 Ce 2.83, 3 Pm 2.84-2.90
S  0.2446  0.7548  0.2446  1 Er 2.77, 2 Ce 2.83, 3 Pm 2.84-2.90
S  0.2452  0.7554  0.7554  1 Er 2.77, 2 Ce 2.83, 3 Pm 2.84-2.90
S  0.2501  0.2501  0.2501  3 Ce 2.83, 3 Pm 2.84
S  0.7499  0.7499  0.7499  3 Ce 2.83, 3 Pm 2.84
S  0.7548  0.2446  0.2446  1 Er 2.77, 2 Ce 2.83, 3 Pm 2.84-2.90
S  0.7554  0.2452  0.7554  1 Er 2.77, 2 Ce 2.83, 3 Pm 2.84-2.90
S  0.7554  0.7554  0.2452  1 Er 2.77, 2 Ce 2.83, 3 Pm 2.84-2.90

No. 7
Below is a relaxed structure of CePmEr2S4, with properties calculated at the PBE-GGA level.

Calculated values
**Calculated volume**: 21.736 A^3/atom
**Formation energy (no corrections)**: -2.0089 eV/atom
**Space-group type**: P2/m, No. 10
**Raw total energy**: -52.4 eV/cell

Unit cell a=6.7929 b=3.9106 c=6.9233 alpha=90.00 beta=109.01 gamma=90.00
With the nearest neighbours (Å) after each atom.
Element x y z (fractional)
Ce  0.0000  0.0000  0.0000  6 S 2.85
Pm  0.5000  0.5000  0.0000  6 S 2.85
Er  0.0000  0.5000  0.5000  6 S 2.73
Er  0.5000  0.0000  0.5000  6 S 2.73-2.74
S  0.2443  0.0000  0.7343  3 Er 2.73-2.74, 1 Ce 2.85, 2 Pm 2.85
S  0.2551  0.5000  0.2655  3 Er 2.73, 2 Ce 2.85, 1 Pm 2.85
S  0.7449  0.5000  0.7345  3 Er 2.73, 2 Ce 2.85, 1 Pm 2.85
S  0.7557  0.0000  0.2657  3 Er 2.73-2.74, 1 Ce 2.85, 2 Pm 2.85

No. 8
Below is a relaxed structure of Ce3Pm2ErSb6, with properties calculated at the PBE-GGA level.

Calculated values
**Calculated volume**: 31.669 A^3/atom
**Formation energy (no corrections)**: -1.0999 eV/atom
**Space-group type**: C2/m, No. 12
**Raw total energy**: -69.8 eV/cell

Unit cell a=7.7503 b=7.7503 c=7.7501 alpha=99.60 beta=99.60 gamma=120.00
With the nearest neighbours (Å) after each atom.
Element x y z (fractional)
Ce  0.0000  0.0000  0.0000  6 Sb 3.16-3.20
Ce  0.3313  0.6687  0.0000  6 Sb 3.16-3.19
Ce  0.6687  0.3313  0.0000  6 Sb 3.16-3.19
Pm  0.1659  0.8341  0.5000  6 Sb 3.17
Pm  0.8341  0.1659  0.5000  6 Sb 3.17
Er  0.5000  0.5000  0.5000  6 Sb 3.12-3.13
Sb  0.0896  0.4180  0.2531  1 Er 3.12, 3 Ce 3.16-3.19, 2 Pm 3.17
Sb  0.2553  0.2553  0.7494  1 Er 3.13, 3 Ce 3.17-3.20, 2 Pm 3.17
Sb  0.4180  0.0896  0.2531  1 Er 3.12, 3 Ce 3.16-3.19, 2 Pm 3.17
Sb  0.5820  0.9104  0.7469  1 Er 3.12, 3 Ce 3.16-3.19, 2 Pm 3.17
Sb  0.7447  0.7447  0.2506  1 Er 3.13, 3 Ce 3.17-3.20, 2 Pm 3.17
Sb  0.9104  0.5820  0.7469  1 Er 3.12, 3 Ce 3.16-3.19, 2 Pm 3.17

No. 9
Below is a relaxed structure of CePm2ErSb4, with properties calculated at the PBE-GGA level.

Calculated values
**Calculated volume**: 31.347 A^3/atom
**Formation energy (no corrections)**: -1.1263 eV/atom
**Space-group type**: P2/m, No. 10
**Raw total energy**: -45.5 eV/cell

Unit cell a=7.7138 b=4.4605 c=7.7287 alpha=90.00 beta=109.43 gamma=90.00
With the nearest neighbours (Å) after each atom.
Element x y z (fractional)
Ce  0.0000  0.0000  0.0000  6 Sb 3.14-3.15
Pm  0.0000  0.5000  0.5000  6 Sb 3.19
Pm  0.5000  0.0000  0.5000  6 Sb 3.16
Er  0.5000  0.5000  0.0000  6 Sb 3.11
Sb  0.2521  0.5000  0.2458  1 Er 3.11, 2 Ce 3.15, 3 Pm 3.16-3.19
Sb  0.2554  0.0000  0.7571  2 Er 3.11, 1 Ce 3.14, 3 Pm 3.16-3.19
Sb  0.7446  0.0000  0.2429  2 Er 3.11, 1 Ce 3.14, 3 Pm 3.16-3.19
Sb  0.7479  0.5000  0.7542  1 Er 3.11, 2 Ce 3.15, 3 Pm 3.16-3.19

No. 10
Below is a relaxed structure of Ce2PmErSb5, with properties calculated at the PBE-GGA level.

Calculated values
**Calculated volume**: 36.071 A^3/atom
**Formation energy (no corrections)**: -0.3260 eV/atom
**Space-group type**: P4/mmm, No. 123
**Raw total energy**: -44.7 eV/cell

Unit cell a=5.2717 b=5.2717 c=11.6813 alpha=90.00 beta=90.00 gamma=90.00
With the nearest neighbours (Å) after each atom.
Element x y z (fractional)
Ce  0.0000  0.0000  0.2137  5 Sb 3.34-3.63
Ce  0.0000  0.0000  0.7863  5 Sb 3.34-3.63
Pm  0.5000  0.5000  0.5000  2 Sb 2.93
Er  0.5000  0.5000  0.0000  6 Sb 2.64-2.91
Sb  0.0000  0.0000  0.5000  2 Ce 3.34, 4 Pm 3.73
Sb  0.0000  0.5000  0.0000  2 Er 2.64
Sb  0.5000  0.0000  0.0000  2 Er 2.64
Sb  0.5000  0.5000  0.2491  1 Er 2.91, 1 Pm 2.93
Sb  0.5000  0.5000  0.7509  1 Er 2.91, 1 Pm 2.93